LaReF3: relaxed, GGA-PBEsol.

Values from the calculation:
* M_tot: 5.0 μB/f.u.
* E_form (uncorrected): -146.98 kJ/mol of atoms
* symmetry: Pm-3m (221)
* Fermi-level density of states: 0.174 states/eV/atom

The structure in POSCAR format:
```
LaReF3
1.0
-4.311 0.181 -1.851
-1.821 -1.362 4.108
-0.378 4.490 1.321
F La Re
3 1 1
direct
0.000 0.000 0.500
0.000 0.500 0.000
0.500 0.000 0.000
0.000 0.000 0.000
0.500 0.500 0.500
```